Li3FeF6: relaxed, PBE with a Hubbard U.

Output
space-group type = P-31c, No. 163
E_tot = -5.02 eV per atom
M_tot = 5.0 μB/f.u.
relative energy among the computed polymorphs = 0.138 eV per formula unit
calculated volume = 10.9 Å³/atom

Cell and atoms, written as POSCAR:
```
Li3FeF6
1.0
5.125 0.000 0.000
-2.562 4.438 0.000
0.000 0.000 9.607
Li Fe F
6 2 12
Cartesian
0.000 0.000 2.402
0.000 0.000 7.205
0.000 2.959 0.510
0.000 2.959 4.294
2.562 1.479 5.313
2.562 1.479 9.097
0.000 2.959 7.205
2.562 1.479 2.402
-0.764 1.579 6.060
-1.577 2.987 8.351
0.764 1.579 8.351
-0.813 4.311 6.060
1.749 0.127 1.256
0.985 1.451 3.547
1.577 2.987 6.060
0.813 4.311 8.351
3.375 0.127 3.547
1.798 2.859 1.256
4.140 1.451 1.256
3.327 2.859 3.547
```